Entry 1:
{"formula": "Bi3RuSe", "functional": "GGA-PBE", "state": "relaxed", "raw_formation_energy_mev_per_atom": 1234.8, "de_polymorph_mev_per_atom": 825, "lattice": [[5.4592, 0.0000, 0.0000], [0.0000, 5.4592, 0.0000], [0.0000, 0.0000, 5.4592]], "species": ["Bi", "Bi", "Bi", "Ru", "Se"], "fractional_positions": [[0.0000, 0.0000, 0.5000], [0.0000, 0.5000, 0.0000], [0.5000, 0.0000, 0.0000], [0.5000, 0.5000, 0.5000], [0.0000, 0.0000, 0.0000]]}


Entry 2:
{"formula": "BiRuSe", "functional": "GGA-PBE", "state": "relaxed", "raw_formation_energy_mev_per_atom": -72.0, "lattice": [[5.7369, 0.0000, 0.0000], [-2.8685, 4.9683, 0.0000], [0.0000, 0.0000, 6.9228]], "species": ["Bi", "Bi", "Bi", "Ru", "Ru", "Ru", "Se", "Se", "Se"], "fractional_positions": [[0.0000, 0.6652, 0.3333], [0.3348, 0.3348, 0.0000], [0.6652, 0.0000, 0.6667], [0.0000, 0.1700, 0.3333], [0.1700, 0.0000, 0.6667], [0.8300, 0.8300, 0.0000], [0.0000, 0.5712, 0.8333], [0.4288, 0.4288, 0.5000], [0.5712, 0.0000, 0.1667]]}


Entry 3:
{"formula": "BiTe2RuSe", "functional": "GGA-PBE", "state": "relaxed", "raw_formation_energy_mev_per_atom": 1224.0, "lattice": [[5.3695, 0.0000, 0.0000], [0.0000, 5.3695, 0.0000], [0.0000, 0.0000, 5.5279]], "species": ["Bi", "Te", "Te", "Ru", "Se"], "fractional_positions": [[0.0000, 0.0000, 0.0000], [0.0000, 0.5000, 0.5000], [0.5000, 0.0000, 0.5000], [0.5000, 0.5000, 0.0000], [0.0000, 0.0000, 0.5000]]}